Entry 1:
VASP calculation (PBE) on Li2MnCrAg after structural relaxation.

a = 4.159 Å, b = 4.968 Å, c = 4.159 Å
α = 90.00°, β = 90.00°, γ = 90.00°
Site moments in Bohr magnetons follow the coordinates.
Sites, in units of the cell vectors:
1 Cr 0.000 0.500 0.000  -0.47
2 Mn 0.500 0.500 0.500  -0.23
3 Ag 0.000 0.000 0.000  0.02
4 Li 0.000 0.000 0.500  0.01
5 Li 0.500 0.000 0.000  0.01

Properties
E_form in eV/f.u.: 7.72
E_tot in eV/atom: -3.5503

=====

Entry 2:
VASP calculation (PBE) on LiYAu3 after structural relaxation.

a = 5.371 Å, b = 4.245 Å, c = 9.202 Å
α = 103.34°, β = 106.42°, γ = 90.00°
Sites, in units of the cell vectors:
1 Li 0.624 0.203 0.406
2 Li 0.376 0.797 0.594
3 Y 0.181 0.417 0.834
4 Y 0.819 0.583 0.166
5 Au 0.709 0.961 0.922
6 Au 0.291 0.039 0.078
7 Au 0.378 0.651 0.302
8 Au 0.622 0.349 0.698
9 Au 0.884 0.786 0.573
10 Au 0.116 0.214 0.427

Properties
E_form in eV/f.u.: -3.05
Energy relative to the lowest polymorph listed for this composition in eV per formula unit: 0.00
E_tot in eV/atom: -4.2516

=====

Entry 3:
VASP calculation (PBE) on Y4CuRh after structural relaxation.

a = 6.032 Å, b = 6.032 Å, c = 6.032 Å
α = 60.00°, β = 60.00°, γ = 60.00°
Sites, in units of the cell vectors:
1 Y 0.878 0.374 0.374
2 Y 0.374 0.374 0.878
3 Y 0.374 0.878 0.374
4 Y 0.374 0.374 0.374
5 Cu 0.750 0.750 0.750
6 Rh 0.000 0.000 0.000

Properties
E_form in eV/f.u.: 4.32
Energy relative to the lowest polymorph listed for this composition in eV per formula unit: 5.68
E_tot in eV/atom: -5.4969

=====

Entry 4:
VASP calculation (PBE) on RbDyO2 after structural relaxation.

a = 3.512 Å, b = 3.512 Å, c = 6.868 Å
α = 75.19°, β = 75.19°, γ = 60.00°
Sites, in units of the cell vectors:
1 Rb 0.500 0.500 0.500
2 Dy 0.000 0.000 0.000
3 O 0.275 0.275 0.175
4 O 0.725 0.725 0.825

Properties
Uncorrected formation energy in meV/atom: -2697
E_tot in eV/atom: -6.5687

=====

Entry 5:
VASP calculation (PBE) on Zn2CrSe after structural relaxation.

a = 6.964 Å, b = 6.964 Å, c = 6.964 Å
α = 30.61°, β = 30.61°, γ = 30.61°
Site moments in Bohr magnetons follow the coordinates.
Sites, in units of the cell vectors:
1 Cr 0.250 0.250 0.250  3.74
2 Se 0.750 0.750 0.750  0.01
3 Zn 0.005 0.005 0.005  -0.02
4 Zn 0.495 0.495 0.495  -0.02

Properties
Uncorrected formation energy in meV/atom: 253
E_tot in eV/atom: -3.6606

=====

Entry 6:
VASP calculation (PBE) on Sr3CaTl2 after structural relaxation.

a = 5.617 Å, b = 7.646 Å, c = 10.535 Å
α = 90.00°, β = 90.00°, γ = 90.00°
Sites, in units of the cell vectors:
1 Sr 0.000 0.470 0.944
2 Sr 0.000 0.970 0.056
3 Sr 0.500 0.665 0.185
4 Sr 0.500 0.165 0.815
5 Sr 0.000 0.332 0.325
6 Sr 0.000 0.832 0.675
7 Ca 0.500 0.528 0.559
8 Ca 0.500 0.028 0.441
9 Tl 0.500 0.721 0.856
10 Tl 0.500 0.221 0.144
11 Tl 0.000 0.283 0.640
12 Tl 0.000 0.783 0.360

Properties
E_form in eV/f.u.: -1.89
Energy relative to the lowest polymorph listed for this composition in eV per formula unit: 0.00
E_tot in eV/atom: -2.2788

=====

Entry 7:
VASP calculation (PBE) on Pr6CoNi2Br3 after structural relaxation.

a = 7.080 Å, b = 7.080 Å, c = 8.166 Å
α = 98.30°, β = 98.30°, γ = 120.02°
Sites, in units of the cell vectors:
1 Pr 0.935 0.609 0.807
2 Pr 0.738 0.738 0.194
3 Pr 0.065 0.391 0.193
4 Pr 0.609 0.935 0.807
5 Pr 0.262 0.262 0.806
6 Pr 0.391 0.065 0.193
7 Co 0.000 0.000 0.000
8 Ni 0.333 0.667 0.000
9 Ni 0.667 0.333 0.000
10 Br 0.166 0.834 0.500
11 Br 0.834 0.166 0.500
12 Br 0.500 0.500 0.500

Properties
Uncorrected formation energy in meV/atom: -778
E_tot in eV/atom: -5.1416

=====

Entry 8:
VASP calculation (PBE) on BaReIr3 after structural relaxation.

a = 4.935 Å, b = 4.935 Å, c = 4.935 Å
α = 90.00°, β = 90.00°, γ = 90.00°
Sites, in units of the cell vectors:
1 Re 0.500 0.500 0.500
2 Ir 0.000 0.500 0.000
3 Ir 0.000 0.000 0.500
4 Ir 0.500 0.000 0.000
5 Ba 0.000 0.000 0.000

Properties
E_form in eV/f.u.: 18.22
Energy relative to the lowest polymorph listed for this composition in eV per formula unit: 14.42
E_tot in eV/atom: -4.5471

=====

Entry 9:
VASP calculation (PBE) on LiMnPS2 after structural relaxation.

a = 4.548 Å, b = 4.548 Å, c = 4.172 Å
α = 90.00°, β = 90.00°, γ = 90.00°
Site moments in Bohr magnetons follow the coordinates.
Sites, in units of the cell vectors:
1 P 0.000 0.000 0.500  -0.08
2 S 0.000 0.500 0.000  -0.06
3 S 0.500 0.000 0.000  -0.06
4 Mn 0.500 0.500 0.500  4.34
5 Li 0.000 0.000 0.000  0.01

Properties
Energy relative to the lowest polymorph listed for this composition in eV per formula unit: 3.06
Uncorrected formation energy in meV/atom: 565
E_tot in eV/atom: -4.3849

=====

Entry 10:
VASP calculation (PBE) on DyErSO2 after structural relaxation.

a = 3.966 Å, b = 6.272 Å, c = 7.439 Å
α = 107.43°, β = 90.00°, γ = 90.00°
Sites, in units of the cell vectors:
1 Dy 0.250 0.688 0.926
2 Dy 0.750 0.312 0.074
3 Er 0.250 0.685 0.420
4 Er 0.750 0.315 0.580
5 S 0.250 0.043 0.759
6 S 0.750 0.957 0.241
7 O 0.750 0.516 0.383
8 O 0.250 0.484 0.617
9 O 0.750 0.521 0.876
10 O 0.250 0.479 0.124

Properties
Uncorrected formation energy in meV/atom: -3157
E_tot in eV/atom: -7.7990

=====

Entry 11:
VASP calculation (PBE) on Er4AgC2 after structural relaxation.

a = 3.577 Å, b = 3.577 Å, c = 13.624 Å
α = 82.46°, β = 82.46°, γ = 60.00°
Site moments in Bohr magnetons follow the coordinates.
Sites, in units of the cell vectors:
1 Er 0.124 0.124 0.627  0.18
2 Er 0.275 0.275 0.176  0.17
3 Er 0.725 0.725 0.824  0.17
4 Er 0.876 0.876 0.373  0.18
5 Ag 0.000 0.000 0.000  0.02
6 C 0.424 0.424 0.727  -0.02
7 C 0.576 0.576 0.273  -0.02

Properties
E_form in eV/f.u.: -2.01
Energy relative to the lowest polymorph listed for this composition in eV per formula unit: 0.00
E_tot in eV/atom: -5.9370

=====

Entry 12:
VASP calculation (PBE) on Rb2SbCCl6 after structural relaxation.

a = 7.837 Å, b = 7.837 Å, c = 7.168 Å
α = 56.86°, β = 56.86°, γ = 90.00°
Site moments in Bohr magnetons follow the coordinates.
Sites, in units of the cell vectors:
1 Sb 0.000 0.000 0.000  0.00
2 C 0.500 0.500 0.000  0.51
3 Rb 0.750 0.250 0.500  0.00
4 Rb 0.250 0.750 0.500  0.00
5 Cl 0.278 0.278 0.445  0.01
6 Cl 0.722 0.722 0.555  0.01
7 Cl 0.239 0.239 0.000  -0.01
8 Cl 0.761 0.761 0.000  -0.01
9 Cl 0.761 0.239 0.000  -0.01
10 Cl 0.239 0.761 0.000  -0.01

Properties
Uncorrected formation energy in meV/atom: -553
E_tot in eV/atom: -3.1890

=====

Entry 13:
VASP calculation (PBE) on PdRh2Pb6 after structural relaxation.

a = 6.950 Å, b = 7.084 Å, c = 9.055 Å
α = 90.00°, β = 79.97°, γ = 90.00°
Sites, in units of the cell vectors:
1 Pd 0.500 0.500 0.000
2 Pd 0.000 0.000 0.500
3 Rh 0.979 0.349 0.731
4 Rh 0.521 0.849 0.769
5 Rh 0.479 0.151 0.231
6 Rh 0.021 0.651 0.269
7 Pb 0.842 0.992 0.231
8 Pb 0.829 0.652 0.580
9 Pb 0.869 0.674 0.932
10 Pb 0.631 0.174 0.568
11 Pb 0.671 0.152 0.920
12 Pb 0.658 0.492 0.269
13 Pb 0.158 0.008 0.769
14 Pb 0.171 0.348 0.420
15 Pb 0.131 0.326 0.068
16 Pb 0.369 0.826 0.432
17 Pb 0.329 0.848 0.080
18 Pb 0.342 0.508 0.731

Properties
E_form in eV/f.u.: -0.49
Energy relative to the lowest polymorph listed for this composition in eV per formula unit: 0.22
E_tot in eV/atom: -4.7377

=====

Entry 14:
VASP calculation (PBE) on ZrCu2I after structural relaxation.

a = 7.565 Å, b = 7.565 Å, c = 6.036 Å
α = 51.20°, β = 51.20°, γ = 90.00°
Sites, in units of the cell vectors:
1 I 0.000 0.000 0.000
2 I 0.750 0.250 0.500
3 Cu 0.629 0.125 0.250
4 Cu 0.121 0.625 0.250
5 Cu 0.375 0.371 0.750
6 Cu 0.875 0.879 0.750
7 Zr 0.500 0.500 0.000
8 Zr 0.250 0.750 0.500

Properties
Energy relative to the lowest polymorph listed for this composition in eV per formula unit: 0.00
Uncorrected formation energy in meV/atom: 318
E_tot in eV/atom: -4.2546

=====

Entry 15:
VASP calculation (PBE) on InRu after structural relaxation.

a = 3.076 Å, b = 3.076 Å, c = 4.254 Å
α = 90.00°, β = 90.00°, γ = 120.00°
Sites, in units of the cell vectors:
1 In 0.667 0.333 0.500
2 Ru 0.333 0.667 0.000

Properties
E_form in eV/f.u.: 0.42
E_tot in eV/atom: -5.7995

=====

Entry 16:
VASP calculation (PBE) on LaNdBr6 after structural relaxation.

a = 7.295 Å, b = 7.295 Å, c = 7.934 Å
α = 62.62°, β = 62.63°, γ = 60.00°
Sites, in units of the cell vectors:
1 La 0.500 0.500 0.500
2 Nd 0.000 0.000 0.000
3 Br 0.087 0.408 0.752
4 Br 0.753 0.087 0.752
5 Br 0.592 0.247 0.248
6 Br 0.247 0.913 0.248
7 Br 0.913 0.592 0.248
8 Br 0.408 0.753 0.752

Properties
Energy relative to the lowest polymorph listed for this composition in eV per formula unit: 0.07
Uncorrected formation energy in meV/atom: -1887
E_tot in eV/atom: -4.3537

=====

no.,DOS at the Fermi energy (states/eV/cell)
1,8.81
2,6.05
3,10.24
4,0.00
5,1.19
6,12.08
7,8.03
8,11.48
9,3.17
10,0.00
11,5.17
12,2.90
13,9.54
14,5.16
15,1.57
16,0.00